DFT (GGA+U) results for an optimized crystal structure of Eu2MnGe4O12.

Output
**Energy**: -287.90 eV/cell
**SG**: No. 67

a = 10.1751 Å, b = 10.1751 Å, c = 4.9947 Å
α = 90.00°, β = 90.00°, γ = 90.09°
Element x y z (fractional)
Ge 0.9725 0.2434 0.9917
Ge 0.7566 0.0275 0.9917
Ge 0.2434 0.9725 0.0083
Ge 0.5275 0.2566 0.9917
Ge 0.0275 0.7566 0.0083
Ge 0.7434 0.4725 0.9917
Ge 0.4725 0.7434 0.0083
Ge 0.2566 0.5275 0.0083
Eu 0.2500 0.2500 0.5000
Eu 0.7500 0.7500 0.5000
Eu 0.0000 0.5000 0.5000
Eu 0.5000 0.0000 0.5000
O 0.6764 0.9340 0.2330
O 0.1333 0.6333 0.1686
O 0.3236 0.0660 0.7670
O 0.0660 0.3236 0.2330
O 0.6308 0.3692 0.1761
O 0.4527 0.3422 0.7243
O 0.4340 0.1764 0.2330
O 0.6578 0.5473 0.7243
O 0.6333 0.1333 0.8314
O 0.8236 0.5660 0.2330
O 0.3692 0.6308 0.8239
O 0.8692 0.1308 0.1761
O 0.9340 0.6764 0.7670
O 0.3422 0.4527 0.2757
O 0.5473 0.6578 0.2757
O 0.8667 0.3667 0.8314
O 0.8422 0.9527 0.7243
O 0.0473 0.1578 0.7243
O 0.1578 0.0473 0.2757
O 0.9527 0.8422 0.2757
O 0.1764 0.4340 0.7670
O 0.3667 0.8667 0.1686
O 0.5660 0.8236 0.7670
O 0.1308 0.8692 0.8239
Mn 0.5000 0.5000 0.5000
Mn 0.0000 0.0000 0.5000